[1]
DFT (PBE) results for a relaxed TaCdTe2 crystal.

Unit cell a=3.8374 b=5.0224 c=10.7483 alpha=90.00 beta=90.00 gamma=90.00
Closest atoms and distances in Å follow each position.
Space group Cmm2 (No. 35)
Asymmetric unit:
Ta 0.0000 0.0000 0.0000 (multiplicity 2)  2 Te 2.79, 2 Cd 2.94
Cd 0.0000 0.5000 0.2071 (multiplicity 2)  2 Ta 2.94, 4 Cd 3.16
Te 0.0000 0.0000 0.4575 (multiplicity 2)  4 Te 3.16, 2 Cd 3.31
Te 0.0000 0.5000 0.8111 (multiplicity 2)  2 Ta 2.79

Summary:
Formation energy without anion corrections in eV per formula unit: 0.76
Total energy in eV for the cell shown: -36.6


[2]
DFT (PBE) results for a relaxed Rb3ErB2O6 crystal.

Unit cell a=5.6284 b=5.6284 c=7.1911 alpha=90.00 beta=90.00 gamma=120.00
Closest atoms and distances in Å follow each position.
Space group P-3m1 (No. 164)
Asymmetric unit:
Rb 0.0000 0.0000 0.0000 (multiplicity 1)  6 O 2.92
Rb 0.3333 0.6667 0.7511 (multiplicity 2)  6 O 2.86, 1 B 3.14
Er 0.0000 0.0000 0.5000 (multiplicity 1)  6 O 2.28
B 0.3333 0.6667 0.3150 (multiplicity 2)  3 O 1.40
O 0.1897 0.3794 0.3148 (multiplicity 6)  1 B 1.40

Summary:
Formation energy without anion corrections in eV per formula unit: -29.41
Total energy in eV for the cell shown: -80.0